Entry 1:
{"formula": "ZrGeS3", "functional": "PBE-GGA", "state": "optimized geometry", "spacegroup": "No. 62", "e_form_raw_ev_per_atom": -1.03, "cell": [[3.673, 0.000, 0.000], [0.000, 9.606, 0.000], [0.000, 0.000, 14.413]], "species": ["Zr", "Zr", "Zr", "Zr", "Ge", "Ge", "Ge", "Ge", "S", "S", "S", "S", "S", "S", "S", "S", "S", "S", "S", "S"], "fractional_positions": [[0.250, 0.847, 0.548], [0.750, 0.653, 0.048], [0.750, 0.153, 0.452], [0.250, 0.347, 0.952], [0.750, 0.570, 0.642], [0.250, 0.930, 0.142], [0.250, 0.430, 0.358], [0.750, 0.070, 0.858], [0.250, 0.715, 0.702], [0.750, 0.785, 0.202], [0.750, 0.285, 0.298], [0.250, 0.215, 0.798], [0.750, 0.012, 0.606], [0.250, 0.488, 0.106], [0.250, 0.988, 0.394], [0.750, 0.512, 0.894], [0.750, 0.678, 0.488], [0.250, 0.822, 0.988], [0.250, 0.322, 0.512], [0.750, 0.178, 0.012]]}

---

Entry 2:
{"formula": "ZrGeS3", "functional": "PBE-GGA", "state": "optimized geometry", "spacegroup": "No. 36", "e_form_raw_ev_per_atom": -0.82, "cell": [[4.038, 0.000, 0.000], [0.000, 6.524, 0.000], [-2.019, 0.000, 10.217]], "species": ["Zr", "Zr", "Ge", "Ge", "S", "S", "S", "S", "S", "S"], "fractional_positions": [[0.890, 0.937, 0.780], [0.110, 0.437, 0.220], [0.330, 0.519, 0.659], [0.670, 0.019, 0.341], [0.879, 0.299, 0.758], [0.121, 0.799, 0.242], [0.565, 0.267, 0.129], [0.435, 0.767, 0.871], [0.786, 0.772, 0.571], [0.214, 0.272, 0.429]]}

---

Entry 3:
{"formula": "ZrGeS3", "functional": "PBE-GGA", "state": "optimized geometry", "spacegroup": "No. 221", "e_form_raw_ev_per_atom": -0.40, "cell": [[4.975, 0.000, 0.000], [0.000, 4.975, 0.000], [0.000, 0.000, 4.975]], "species": ["Ge", "S", "S", "S", "Zr"], "fractional_positions": [[0.500, 0.500, 0.500], [0.000, 0.500, 0.000], [0.000, 0.000, 0.500], [0.500, 0.000, 0.000], [0.000, 0.000, 0.000]]}

---

Entry 4:
{"formula": "Zr3GeS3", "functional": "PBE-GGA", "state": "optimized geometry", "spacegroup": "No. 214", "e_form_raw_ev_per_atom": -1.33, "cell": [[-8.488, 1.556, 3.041], [0.875, -8.834, -2.217], [6.025, 2.113, 6.554]], "species": ["Zr", "Zr", "Zr", "Zr", "Zr", "Zr", "Zr", "Zr", "Zr", "Zr", "Zr", "Zr", "Ge", "Ge", "Ge", "Ge", "S", "S", "S", "S", "S", "S", "S", "S", "S", "S", "S", "S"], "fractional_positions": [[0.005, 0.503, 0.253], [0.497, 0.995, 0.247], [0.250, 0.997, 0.503], [0.003, 0.750, 0.997], [0.003, 0.253, 0.506], [0.747, 0.997, 0.994], [0.753, 0.505, 0.503], [0.747, 0.750, 0.253], [0.495, 0.247, 0.997], [0.250, 0.253, 0.247], [0.753, 0.247, 0.750], [0.497, 0.503, 0.750], [0.750, 0.500, 0.000], [0.500, 0.250, 0.500], [0.750, 0.250, 0.250], [0.000, 0.000, 0.250], [0.248, 0.998, 0.996], [0.750, 0.752, 0.748], [0.496, 0.748, 0.998], [0.002, 0.250, 0.998], [0.252, 0.748, 0.250], [0.498, 0.502, 0.250], [0.248, 0.250, 0.752], [0.252, 0.504, 0.502], [0.750, 0.998, 0.502], [0.004, 0.502, 0.752], [0.002, 0.752, 0.504], [0.498, 0.996, 0.748]]}

---

Entry 5:
{"formula": "Zr2Ge2S", "functional": "PBE-GGA", "state": "optimized geometry", "spacegroup": "No. 127", "e_form_raw_ev_per_atom": -0.82, "cell": [[7.063, 0.000, 0.000], [0.000, 7.063, 0.000], [0.000, 0.000, 3.931]], "species": ["Ge", "Ge", "Ge", "Ge", "S", "S", "Zr", "Zr", "Zr", "Zr"], "fractional_positions": [[0.123, 0.623, 0.500], [0.623, 0.877, 0.500], [0.877, 0.377, 0.500], [0.377, 0.123, 0.500], [0.000, 0.000, 0.000], [0.500, 0.500, 0.000], [0.322, 0.822, 0.000], [0.822, 0.678, 0.000], [0.678, 0.178, 0.000], [0.178, 0.322, 0.000]]}

---

Entry 6:
{"formula": "ZrGe3S", "functional": "PBE-GGA", "state": "optimized geometry", "spacegroup": "No. 221", "e_form_raw_ev_per_atom": 0.48, "cell": [[-0.244, 3.347, 3.354], [-3.597, 2.055, -2.312], [-3.084, -2.662, 2.432]], "species": ["Ge", "Ge", "Ge", "S", "Zr"], "fractional_positions": [[0.000, 0.500, 0.000], [0.000, 0.000, 0.500], [0.500, 0.000, 0.000], [0.000, 0.000, 0.000], [0.500, 0.500, 0.500]]}

---

Entry 7:
{"formula": "Zr2Ge2S7", "functional": "PBE-GGA", "state": "optimized geometry", "spacegroup": "No. 12", "e_form_raw_ev_per_atom": -0.81, "cell": [[-3.420, 0.117, 9.719], [-4.783, -4.407, -0.463], [5.390, -1.980, 3.087]], "species": ["Zr", "Zr", "Ge", "Ge", "S", "S", "S", "S", "S", "S", "S"], "fractional_positions": [[0.000, 0.327, 0.673], [0.000, 0.673, 0.327], [0.269, 0.157, 0.157], [0.731, 0.843, 0.843], [0.855, 0.052, 0.702], [0.145, 0.298, 0.948], [0.145, 0.948, 0.298], [0.855, 0.702, 0.052], [0.500, 0.000, 0.000], [0.169, 0.516, 0.516], [0.831, 0.484, 0.484]]}

---

Entry 8:
{"formula": "ZrGe3S", "functional": "PBE-GGA", "state": "optimized geometry", "spacegroup": "No. 221", "e_form_raw_ev_per_atom": 0.80, "cell": [[-0.451, 0.090, -5.217], [-1.286, -5.077, 0.023], [-5.057, 1.283, 0.460]], "species": ["Ge", "Ge", "Ge", "S", "Zr"], "fractional_positions": [[0.000, 0.500, 0.000], [0.000, 0.000, 0.500], [0.500, 0.000, 0.000], [0.500, 0.500, 0.500], [0.000, 0.000, 0.000]]}

---

Entry 9:
{"formula": "ZrGeS2", "functional": "PBE-GGA", "state": "optimized geometry", "spacegroup": "No. 166", "e_form_raw_ev_per_atom": -0.26, "cell": [[-0.025, -5.081, 6.377], [3.243, -3.491, 6.617], [0.298, -1.810, 7.945]], "species": ["Ge", "S", "S", "Zr"], "fractional_positions": [[0.500, 0.500, 0.500], [0.896, 0.896, 0.896], [0.104, 0.104, 0.104], [0.000, 0.000, 0.000]]}

---

Entry 10:
{"formula": "Zr4Ge2S", "functional": "PBE-GGA", "state": "optimized geometry", "spacegroup": "No. 139", "e_form_raw_ev_per_atom": -0.41, "cell": [[-0.844, -2.156, 3.989], [3.989, -2.284, -0.390], [4.994, 3.138, 5.420]], "species": ["Ge", "Ge", "S", "Zr", "Zr", "Zr", "Zr"], "fractional_positions": [[0.361, 0.361, 0.277], [0.639, 0.639, 0.723], [0.000, 0.000, 0.000], [0.175, 0.175, 0.650], [0.825, 0.825, 0.350], [0.000, 0.500, 0.000], [0.500, 0.000, 0.000]]}

---

Entry 11:
{"formula": "ZrGeS4", "functional": "PBE-GGA", "state": "optimized geometry", "spacegroup": "No. 16", "e_form_raw_ev_per_atom": -0.74, "cell": [[6.055, 0.000, 0.000], [0.000, 6.063, 0.000], [0.000, 0.000, 11.429]], "species": ["Zr", "Zr", "Ge", "Ge", "S", "S", "S", "S", "S", "S", "S", "S"], "fractional_positions": [[0.000, 0.000, 0.000], [0.500, 0.000, 0.500], [0.000, 0.500, 0.000], [0.000, 0.000, 0.500], [0.209, 0.274, 0.111], [0.209, 0.726, 0.889], [0.791, 0.274, 0.889], [0.791, 0.726, 0.111], [0.774, 0.792, 0.611], [0.774, 0.208, 0.389], [0.226, 0.792, 0.389], [0.226, 0.208, 0.611]]}

---

Entry 12:
{"formula": "ZrGeS2", "functional": "PBE-GGA", "state": "optimized geometry", "spacegroup": "No. 166", "e_form_raw_ev_per_atom": -0.90, "cell": [[-1.934, 8.461, 0.555], [0.673, 8.171, 2.900], [1.416, 8.565, -0.516]], "species": ["Ge", "S", "S", "Zr"], "fractional_positions": [[0.000, 0.000, 0.000], [0.896, 0.896, 0.896], [0.104, 0.104, 0.104], [0.500, 0.500, 0.500]]}

---

Entry 13:
{"formula": "GeSb", "functional": "PBE-GGA", "state": "optimized geometry", "spacegroup": "No. 123", "e_form_raw_ev_per_atom": 0.27, "cell": [[-2.899, 0.718, -0.094], [0.053, -0.179, -2.982], [-1.390, -5.570, 0.309]], "species": ["Sb", "Ge"], "fractional_positions": [[0.000, 0.000, 0.500], [0.000, 0.000, 0.000]]}

---

Entry 14:
{"formula": "GeSb", "functional": "PBE-GGA", "state": "optimized geometry", "spacegroup": "No. 223", "e_form_raw_ev_per_atom": 0.33, "cell": [[-1.883, 4.722, 6.003], [-1.096, -6.286, 4.601], [7.559, 0.265, 2.163]], "species": ["Ge", "Ge", "Ge", "Ge", "Ge", "Ge", "Sb", "Sb", "Sb", "Sb", "Sb", "Sb"], "fractional_positions": [[0.250, 0.000, 0.500], [0.750, 0.000, 0.500], [0.000, 0.500, 0.250], [0.000, 0.500, 0.750], [0.500, 0.250, 0.000], [0.500, 0.750, 0.000], [0.250, 0.500, 0.000], [0.750, 0.500, 0.000], [0.500, 0.000, 0.250], [0.500, 0.000, 0.750], [0.000, 0.250, 0.500], [0.000, 0.750, 0.500]]}

---

Entry 15:
{"formula": "GeSb", "functional": "PBE-GGA", "state": "optimized geometry", "spacegroup": "No. 31", "e_form_raw_ev_per_atom": 0.22, "cell": [[13.057, 0.000, 0.000], [0.000, 4.126, 0.000], [0.000, 0.000, 6.450]], "species": ["Ge", "Ge", "Ge", "Ge", "Ge", "Ge", "Sb", "Sb", "Sb", "Sb", "Sb", "Sb"], "fractional_positions": [[0.797, 0.308, 0.637], [0.703, 0.692, 0.137], [0.203, 0.308, 0.637], [0.297, 0.692, 0.137], [0.000, 0.920, 0.490], [0.500, 0.080, 0.990], [0.835, 0.180, 0.227], [0.665, 0.820, 0.727], [0.165, 0.180, 0.227], [0.335, 0.820, 0.727], [0.000, 0.407, 0.786], [0.500, 0.593, 0.286]]}

---

Entry 16:
{"formula": "GeSb", "functional": "PBE-GGA", "state": "optimized geometry", "spacegroup": "No. 216", "e_form_raw_ev_per_atom": 0.28, "cell": [[-3.287, -2.983, 0.955], [0.198, -4.213, -1.683], [0.848, -3.508, 2.755]], "species": ["Sb", "Ge"], "fractional_positions": [[0.000, 0.000, 0.000], [0.250, 0.250, 0.250]]}

---

Entry 17:
{"formula": "GeSb3", "functional": "PBE-GGA", "state": "optimized geometry", "spacegroup": "No. 25", "e_form_raw_ev_per_atom": 0.10, "cell": [[5.908, 0.000, 0.000], [0.000, 4.228, 0.000], [0.000, 0.000, 4.658]], "species": ["Sb", "Sb", "Sb", "Ge"], "fractional_positions": [[0.000, 0.000, 0.808], [0.000, 0.500, 0.380], [0.500, 0.500, 0.267], [0.500, 0.000, 0.878]]}

---

Entry 18:
{"formula": "GeSb", "functional": "PBE-GGA", "state": "optimized geometry", "spacegroup": "No. 176", "e_form_raw_ev_per_atom": 0.24, "cell": [[-4.534, -8.079, -5.019], [2.511, -0.873, 10.195], [-3.834, 1.486, 1.072]], "species": ["Ge", "Ge", "Ge", "Ge", "Ge", "Ge", "Sb", "Sb", "Sb", "Sb", "Sb", "Sb"], "fractional_positions": [[0.637, 0.099, 0.250], [0.538, 0.637, 0.750], [0.901, 0.538, 0.250], [0.363, 0.901, 0.750], [0.462, 0.363, 0.250], [0.099, 0.462, 0.750], [0.942, 0.288, 0.250], [0.654, 0.942, 0.750], [0.712, 0.654, 0.250], [0.058, 0.712, 0.750], [0.346, 0.058, 0.250], [0.288, 0.346, 0.750]]}

---

Entry 19:
{"formula": "GeSb", "functional": "PBE-GGA", "state": "optimized geometry", "spacegroup": "No. 59", "e_form_raw_ev_per_atom": 0.17, "cell": [[-4.201, 0.437, 0.488], [-0.743, -1.663, -4.907], [-0.284, -4.453, 1.552]], "species": ["Sb", "Sb", "Ge", "Ge"], "fractional_positions": [[0.750, 0.750, 0.680], [0.250, 0.250, 0.320], [0.250, 0.750, 0.063], [0.750, 0.250, 0.937]]}

---

Entry 20:
{"formula": "GeSb", "functional": "PBE-GGA", "state": "optimized geometry", "spacegroup": "No. 83", "e_form_raw_ev_per_atom": 0.25, "cell": [[-0.527, 6.806, 10.201], [-11.828, 2.411, -2.220], [-1.129, -3.465, 2.254]], "species": ["Ge", "Ge", "Ge", "Ge", "Ge", "Ge", "Ge", "Ge", "Sb", "Sb", "Sb", "Sb", "Sb", "Sb", "Sb", "Sb"], "fractional_positions": [[0.761, 0.573, 0.500], [0.239, 0.427, 0.500], [0.427, 0.761, 0.500], [0.573, 0.239, 0.500], [0.897, 0.420, 0.000], [0.103, 0.580, 0.000], [0.580, 0.897, 0.000], [0.420, 0.103, 0.000], [0.786, 0.338, 0.500], [0.214, 0.662, 0.500], [0.662, 0.786, 0.500], [0.338, 0.214, 0.500], [0.885, 0.650, 0.000], [0.115, 0.350, 0.000], [0.350, 0.885, 0.000], [0.650, 0.115, 0.000]]}